# 1
Material: TcTeO3
Method: DFT, GGA-PBE
State: relaxed

a = 3.9589 Å, b = 3.9589 Å, c = 3.9589 Å
α = 90.00°, β = 90.00°, γ = 90.00°
Fractional coordinates of all 5 atoms:
Tc: 0.0000 0.0000 0.0000
Te: 0.5000 0.5000 0.5000
O: 0.0000 0.0000 0.5000
O: 0.0000 0.5000 0.0000
O: 0.5000 0.0000 0.0000

Results
* M_tot: 0.0 μB per cell
* calculated total energy: -30.92 eV/cell
* D(E_F): 6.09 states/eV/cell
* E_form (uncorrected): -0.508 eV/atom
* SG: Pm-3m (221)

# 2
Material: K3Ho2NpS6
Method: DFT, GGA-PBE
State: relaxed

a = 7.0406 Å, b = 7.0406 Å, c = 7.7308 Å
α = 98.72°, β = 98.72°, γ = 119.94°
Fractional coordinates of all 12 atoms:
K: 0.0000 0.0000 0.0000
K: 0.3328 0.6672 0.0000
K: 0.6672 0.3328 0.0000
Ho: 0.1659 0.8341 0.5000
Ho: 0.8341 0.1659 0.5000
Np: 0.5000 0.5000 0.5000
S: 0.0952 0.4326 0.2987
S: 0.2298 0.2298 0.7022
S: 0.4326 0.0952 0.2987
S: 0.5674 0.9048 0.7013
S: 0.7702 0.7702 0.2978
S: 0.9048 0.5674 0.7013

Results
* M_tot: 4.0 μB per cell
* calculated total energy: -70.64 eV/cell
* D(E_F): 7.79 states/eV/cell
* E_form (uncorrected): -1.707 eV/atom
* SG: C2/m (12)

# 3
Material: Ac8Sn3Ge
Method: DFT, GGA-PBE
State: relaxed

a = 9.6396 Å, b = 9.6396 Å, c = 9.6396 Å
α = 131.89°, β = 131.89°, γ = 70.41°
Fractional coordinates of all 12 atoms:
Ac: 0.1231 0.1231 0.4904
Ac: 0.1231 0.6327 0.0000
Ac: 0.3673 0.3673 0.4904
Ac: 0.3673 0.8769 0.0000
Ac: 0.6327 0.1231 0.0000
Ac: 0.6327 0.6327 0.5096
Ac: 0.8769 0.3673 0.0000
Ac: 0.8769 0.8769 0.5096
Sn: 0.2500 0.7500 0.5000
Sn: 0.5000 0.5000 0.0000
Sn: 0.7500 0.2500 0.5000
Ge: 0.0000 0.0000 0.0000

Results
* M_tot: 0.0 μB per cell
* calculated total energy: -54.14 eV/cell
* energy of formation from the pure elements: -0.387 eV per atom
* D(E_F): 16.33 states/eV/cell
* SG: I4/mmm (139)

# 4
Material: TiGaCu
Method: DFT, GGA-PBE
State: relaxed

a = 8.1051 Å, b = 3.9884 Å, c = 5.5534 Å
α = 90.00°, β = 101.72°, γ = 90.00°
Fractional coordinates of all 12 atoms:
Ti: 0.0000 0.0000 0.0000
Ti: 0.1713 0.5000 0.3320
Ti: 0.5000 0.5000 0.0000
Ti: 0.6712 0.0000 0.3320
Ga: 0.1599 0.5000 0.8147
Ga: 0.3403 0.0000 0.1876
Ga: 0.6599 0.0000 0.8147
Ga: 0.8403 0.5000 0.1876
Cu: 0.0020 0.0000 0.5103
Cu: 0.3290 0.0000 0.6693
Cu: 0.5020 0.5000 0.5103
Cu: 0.8290 0.5000 0.6693

Results
* M_tot: 1.1 μB per cell
* calculated total energy: -63.13 eV/cell
* energy of formation from the pure elements: -0.255 eV per atom
* D(E_F): 7.87 states/eV/cell
* SG: Cm (8)

# 5
Material: SrZrGa3
Method: DFT, GGA-PBE
State: relaxed

a = 5.3074 Å, b = 5.3074 Å, c = 5.3074 Å
α = 90.00°, β = 90.00°, γ = 90.00°
Fractional coordinates of all 5 atoms:
Sr: 0.0000 0.0000 0.0000
Zr: 0.5000 0.5000 0.5000
Ga: 0.0000 0.0000 0.5000
Ga: 0.0000 0.5000 0.0000
Ga: 0.5000 0.0000 0.0000

Results
* M_tot: 0.0 μB per cell
* calculated total energy: -13.45 eV/cell
* energy of formation from the pure elements: 1.173 eV per atom
* D(E_F): 4.60 states/eV/cell
* SG: Pm-3m (221)

# 6
Material: MnIn2Ru
Method: DFT, GGA-PBE
State: relaxed

a = 6.1278 Å, b = 6.8608 Å, c = 3.2843 Å
α = 90.00°, β = 90.00°, γ = 90.00°
Fractional coordinates of all 8 atoms:
Mn: 0.0000 0.0000 0.0000
Mn: 0.5000 0.5000 0.0000
In: 0.2500 0.2500 0.5000
In: 0.2500 0.7500 0.5000
In: 0.7500 0.2500 0.5000
In: 0.7500 0.7500 0.5000
Ru: 0.0000 0.5000 0.0000
Ru: 0.5000 0.0000 0.0000

Results
* M_tot: 6.7 μB per cell
* calculated total energy: -46.62 eV/cell
* energy of formation from the pure elements: 0.153 eV per atom
* D(E_F): 5.13 states/eV/cell
* SG: Cmmm (65)